Run P
Si | GGA-PBEsol | relaxed

extended XYZ file:
```
40
Lattice="10.150 0.000 0.000 -5.075 8.790 0.000 0.000 0.000 10.330" Properties=species:S:1:pos:R:3 pbc="T T T"
Si 5.075 6.458 5.165
Si 2.020 1.166 5.165
Si 3.864 0.000 1.922
Si 7.698 0.000 0.000
Si 2.452 0.000 0.000
Si 3.849 6.667 0.000
Si 0.000 2.333 5.165
Si 6.286 0.000 8.409
Si 5.075 5.112 3.222
Si 5.075 2.930 6.325
Si 6.965 1.839 3.222
Si 3.864 0.000 8.409
Si -1.890 6.951 7.108
Si 0.000 5.860 4.005
Si -1.932 3.346 1.922
Si 3.186 1.839 3.222
Si 5.075 5.112 7.108
Si -3.143 5.444 1.922
Si -1.890 6.951 3.222
Si 5.075 2.930 4.005
Si 1.932 3.346 1.922
Si 1.890 6.951 7.108
Si 0.000 3.678 3.222
Si 0.000 5.860 6.325
Si -3.143 5.444 8.409
Si -3.055 7.624 5.165
Si 1.226 2.124 0.000
Si 3.143 5.444 1.922
Si 0.000 3.678 7.108
Si -1.932 3.346 8.409
Si 1.932 3.346 8.409
Si 3.186 1.839 7.108
Si 6.965 1.839 7.108
Si 6.286 0.000 1.922
Si 1.890 6.951 3.222
Si 3.143 5.444 8.409
Si -3.849 6.667 0.000
Si 8.130 1.166 5.165
Si 3.055 7.624 5.165
Si -1.226 2.124 0.000
```

Values from the calculation:
* symmetry: P6/mmm

---

Run Q
Si | GGA-PBEsol | relaxed

extended XYZ file:
```
2
Lattice="3.842 0.000 0.000 1.921 3.328 0.000 1.921 1.109 3.137" Properties=species:S:1:pos:R:3 pbc="T T T"
Si 5.763 3.328 2.353
Si 3.842 2.218 1.569
```

Values from the calculation:
* symmetry: Fd-3m

---

Run R
Si | GGA-PBEsol | relaxed

extended XYZ file:
```
46
Lattice="9.966 0.000 0.000 0.000 10.526 0.005 0.000 2.762 10.157" Properties=species:S:1:pos:R:3 pbc="T T T"
Si 5.569 1.923 2.786
Si 9.370 8.595 2.529
Si 0.595 4.693 7.632
Si 1.266 5.270 2.027
Si 2.491 3.885 8.689
Si 6.290 7.250 4.288
Si 0.586 3.192 1.126
Si 5.578 8.595 2.529
Si 2.491 10.472 2.022
Si 9.379 1.923 2.786
Si 1.266 9.951 5.606
Si 7.474 9.403 1.473
Si 4.397 3.192 1.126
Si 4.393 10.458 3.376
Si 4.397 11.365 7.375
Si 4.983 7.991 6.111
Si 3.717 5.270 2.027
Si 0.586 11.365 7.375
Si 1.307 6.038 5.874
Si 4.393 7.290 0.954
Si 5.569 10.095 9.036
Si 0.000 5.297 4.051
Si 9.376 2.830 6.785
Si 4.983 5.297 4.051
Si 9.379 10.095 9.036
Si 8.700 3.337 4.555
Si 6.249 8.017 8.135
Si 2.491 1.891 0.721
Si 5.573 5.998 9.208
Si 6.249 3.337 4.555
Si 7.474 2.815 8.140
Si 5.573 2.830 6.785
Si 7.474 1.192 1.636
Si 0.000 7.991 6.111
Si 4.388 4.693 7.632
Si 8.700 8.017 8.135
Si 0.590 10.458 3.376
Si 9.376 5.998 9.208
Si 7.474 4.695 9.577
Si 2.491 8.593 0.584
Si 8.659 7.250 4.288
Si 2.491 12.096 8.525
Si 3.676 6.038 5.874
Si 7.474 11.397 9.440
Si 3.717 9.951 5.606
Si 0.590 7.290 0.954
```

Values from the calculation:
* symmetry: Cmcm

---

Run S
Si | GGA-PBEsol | relaxed

extended XYZ file:
```
8
Lattice="-0.054 -0.895 -3.734 5.722 -2.645 0.551 -3.632 -5.230 3.281" Properties=species:S:1:pos:R:3 pbc="T T T"
Si 0.373 -4.196 1.000
Si 4.592 -2.938 0.637
Si 1.663 -4.574 -0.902
Si -1.243 -5.924 1.438
Si 3.279 -2.846 -1.340
Si -2.557 -5.832 -0.539
Si 3.264 -6.206 -0.534
Si -1.229 -2.564 0.632
```

Values from the calculation:
* symmetry: C2/m
* DOS(E_F): 0.00 states/eV/atom

---

Most stable to least stable: run Q, run S, run P, run R

---

Run P
Si | GGA-PBEsol | relaxed

extended XYZ file:
```
1
Lattice="-1.772 0.301 1.714 0.856 -2.133 1.259 0.981 2.355 0.599" Properties=species:S:1:pos:R:3 pbc="T T T"
Si 0.000 0.000 0.000
```

Values from the calculation:
* symmetry: P6/mmm
* DOS(E_F): 0.39 states/eV/atom

---

Run Q
Si | GGA-PBEsol | relaxed

extended XYZ file:
```
46
Lattice="10.168 0.000 0.000 0.000 10.168 0.000 0.000 0.000 10.168" Properties=species:S:1:pos:R:3 pbc="T T T"
Si 7.035 0.000 1.190
Si 1.190 7.035 0.000
Si 5.084 8.217 6.274
Si 8.217 6.274 5.084
Si 6.951 6.951 3.218
Si 5.084 1.951 6.274
Si 0.000 1.190 7.035
Si 3.133 0.000 1.190
Si 1.951 3.894 5.084
Si 8.978 7.035 0.000
Si 1.867 1.867 1.867
Si 0.000 8.978 3.133
Si 3.218 3.218 6.951
Si 1.867 1.867 8.302
Si 1.867 8.302 1.867
Si 1.190 3.133 0.000
Si 6.951 3.218 3.218
Si 6.274 5.084 8.217
Si 8.302 1.867 1.867
Si 3.894 5.084 1.951
Si 3.133 0.000 8.978
Si 0.000 8.978 7.035
Si 8.302 8.302 8.302
Si 6.951 6.951 6.951
Si 5.084 8.217 3.894
Si 3.218 3.218 3.218
Si 5.084 0.000 7.626
Si 2.542 5.084 0.000
Si 3.218 6.951 3.218
Si 3.894 5.084 8.217
Si 1.951 6.274 5.084
Si 0.000 2.542 5.084
Si 1.867 8.302 8.302
Si 7.626 5.084 0.000
Si 0.000 1.190 3.133
Si 3.218 6.951 6.951
Si 5.084 0.000 2.542
Si 7.035 0.000 8.978
Si 0.000 7.626 5.084
Si 6.274 5.084 1.951
Si 6.951 3.218 6.951
Si 8.978 3.133 0.000
Si 5.084 1.951 3.894
Si 8.217 3.894 5.084
Si 8.302 8.302 1.867
Si 8.302 1.867 8.302
```

Values from the calculation:
* symmetry: Pm-3n

---

Run R
Si | GGA-PBEsol | relaxed

extended XYZ file:
```
68
Lattice="-6.337 -8.080 -1.383 10.123 -0.954 -1.994 2.692 -4.848 15.991" Properties=species:S:1:pos:R:3 pbc="T T T"
Si 9.806 -4.932 8.294
Si 2.910 -7.898 8.497
Si 7.350 -6.342 3.373
Si 2.744 -4.694 5.916
Si 0.058 -2.789 1.628
Si 3.569 -5.985 4.118
Si 10.406 -6.012 11.857
Si 0.857 -1.544 5.092
Si 6.546 -8.425 4.145
Si 6.992 -4.710 10.831
Si 3.440 -4.332 9.548
Si 6.322 -9.204 9.581
Si 0.657 -3.869 5.191
Si 4.039 -5.412 13.111
Si 0.542 -10.916 7.980
Si -0.514 -9.173 1.784
Si 3.527 -9.010 12.165
Si 8.808 -6.034 10.123
Si 3.216 -6.406 -1.328
Si 4.485 -7.905 10.284
Si 1.160 -12.028 11.649
Si 2.263 -5.678 8.011
Si 0.489 -0.880 2.903
Si 7.138 -1.406 -0.472
Si 4.203 -2.833 6.235
Si 5.122 -4.204 1.093
Si 3.262 -7.476 13.942
Si 0.981 -9.003 9.292
Si 1.357 -9.679 11.522
Si 3.204 -1.035 0.303
Si 4.215 -8.205 4.604
Si 1.745 -2.895 -0.016
Si -2.530 -8.598 7.932
Si 5.497 -4.880 3.323
Si -3.928 -7.871 0.758
Si 2.439 -8.471 -0.496
Si 3.274 -12.848 12.312
Si 4.733 -10.988 12.630
Si 2.951 -4.873 0.449
Si -1.658 -10.679 7.155
Si 1.993 -5.978 2.331
Si -0.660 -12.477 13.087
Si 5.318 -1.854 0.966
Si 5.821 -10.014 7.424
Si -0.254 -8.654 12.910
Si -0.872 -7.541 9.241
Si -3.328 -8.951 4.321
Si 5.547 -6.626 -1.787
Si 3.735 -9.189 6.698
Si -1.531 -10.397 13.864
Si 2.203 -3.968 13.088
Si 4.836 -5.659 10.906
Si 8.137 -3.204 5.460
Si 1.642 -8.223 1.709
Si 3.039 -9.551 3.067
Si 0.931 -7.257 14.401
Si 8.489 -8.283 9.495
Si 9.008 -5.284 4.682
Si -2.330 -7.849 2.491
Si 6.732 -5.229 -0.295
Si 5.936 -2.967 4.635
Si 2.276 -11.049 6.380
Si 1.835 -3.304 10.899
Si -2.011 -5.600 3.119
Si -0.067 -5.458 8.470
Si 6.421 -11.094 10.987
Si 0.156 -4.678 3.034
Si 8.010 -3.486 -1.249
```

Values from the calculation:
* symmetry: P6_3/mmc

---

Most stable to least stable: run R, run Q, run P

---

Run P
Sr2SiTe | GGA-PBEsol | relaxed

extended XYZ file:
```
4
Lattice="4.214 0.000 0.000 0.000 4.856 0.000 -2.107 -2.428 5.801" Properties=species:S:1:pos:R:3 pbc="T T T"
Si 0.000 2.428 2.708
Te 2.107 2.428 0.170
Sr 2.107 2.428 5.746
Sr 2.107 0.000 2.978
```

Values from the calculation:
* symmetry: Imm2
* DOS(E_F): 0.57 states/eV/atom

---

Run Q
Sr2SiTe | GGA-PBEsol | relaxed

extended XYZ file:
```
4
Lattice="4.377 0.000 0.000 0.000 4.818 0.003 -2.188 -0.965 5.878" Properties=species:S:1:pos:R:3 pbc="T T T"
Te 2.188 3.150 0.406
Sr 2.188 -0.297 5.757
Si 2.188 -0.019 2.614
Sr 0.000 2.463 2.982
```

Values from the calculation:
* symmetry: Cm
* DOS(E_F): 0.45 states/eV/atom

---

Most stable to least stable: run Q, run P

---

Run P
Sr2ZnSi | GGA-PBEsol | relaxed

extended XYZ file:
```
4
Lattice="4.289 0.000 0.000 0.000 4.614 0.000 0.000 -2.307 5.794" Properties=species:S:1:pos:R:3 pbc="T T T"
Sr 0.000 0.000 1.281
Si 2.145 2.307 2.195
Sr 2.145 0.000 4.568
Zn 0.000 2.307 3.497
```

Values from the calculation:
* symmetry: Amm2
* DOS(E_F): 0.62 states/eV/atom

---

Run Q
Sr2ZnSi | GGA-PBEsol | relaxed

extended XYZ file:
```
4
Lattice="5.343 0.000 0.000 2.672 4.627 0.000 2.672 1.542 4.363" Properties=species:S:1:pos:R:3 pbc="T T T"
Zn 0.000 0.000 0.000
Si 5.343 3.085 2.181
Sr 8.015 4.627 3.272
Sr 2.672 1.542 1.091
```

Values from the calculation:
* symmetry: Fm-3m
* DOS(E_F): 0.12 states/eV/atom

---

Most stable to least stable: run P, run Q

---

Run P
TaTlSi2 | GGA-PBEsol | relaxed

extended XYZ file:
```
4
Lattice="-0.393 0.203 3.545 -1.382 -4.413 0.100 4.826 0.883 -1.316" Properties=species:S:1:pos:R:3 pbc="T T T"
Si 1.913 -0.593 0.246
Ta -0.196 0.102 1.772
Si 1.138 -2.733 2.083
Tl -0.691 -2.206 0.050
```

Values from the calculation:
* symmetry: Immm
* DOS(E_F): 0.37 states/eV/atom

---

Run Q
TaTlSi2 | GGA-PBEsol | relaxed

extended XYZ file:
```
4
Lattice="-2.658 1.246 1.568 -0.046 -3.701 2.860 3.989 3.347 0.571" Properties=species:S:1:pos:R:3 pbc="T T T"
Si 0.136 0.109 0.144
Tl 1.365 -0.734 2.897
Ta 2.549 2.049 2.692
Si -0.129 1.588 2.052
```

Values from the calculation:
* symmetry: Imm2
* DOS(E_F): 0.43 states/eV/atom

---

Most stable to least stable: run P, run Q

---

Run P
TaSi2W | GGA-PBEsol | relaxed

extended XYZ file:
```
4
Lattice="-3.401 1.407 0.844 -1.634 -2.721 -2.046 2.350 -1.739 3.921" Properties=species:S:1:pos:R:3 pbc="T T T"
Si -1.784 -0.495 2.082
Ta -2.518 -0.657 -0.601
Si 0.000 0.000 0.000
W -0.900 -2.559 0.637
```

Values from the calculation:
* symmetry: I-4m2
* DOS(E_F): 0.55 states/eV/atom

---

Run Q
TaSi2W | GGA-PBEsol | relaxed

extended XYZ file:
```
4
Lattice="4.270 0.052 -0.077 -1.872 3.838 0.077 1.872 1.530 3.521" Properties=species:S:1:pos:R:3 pbc="T T T"
Ta 0.000 2.684 1.799
Si 2.135 4.052 2.660
Si 2.135 1.368 0.861
W 0.000 0.000 0.000
```

Values from the calculation:
* symmetry: I4/mmm
* DOS(E_F): 0.90 states/eV/atom

---

Most stable to least stable: run P, run Q

---

Run P
SiTc5 | GGA-PBEsol | relaxed

extended XYZ file:
```
6
Lattice="-0.785 -2.757 -0.048 3.703 0.379 3.234 -5.558 1.533 2.853" Properties=species:S:1:pos:R:3 pbc="T T T"
Tc 1.593 -0.495 2.341
Si -2.516 -0.874 5.701
Tc 0.265 -1.641 4.277
Tc -0.887 -1.267 1.652
Tc -1.503 0.363 3.712
Tc -3.984 -0.409 3.024
```

Values from the calculation:
* symmetry: C2/m
* DOS(E_F): 0.83 states/eV/atom

---

Run Q
SiTc5 | GGA-PBEsol | relaxed

extended XYZ file:
```
6
Lattice="-0.772 -0.094 -2.671 -3.085 -2.856 0.992 -3.997 5.160 2.423" Properties=species:S:1:pos:R:3 pbc="T T T"
Tc -1.854 1.666 -0.971
Tc -2.945 3.436 0.731
Tc -2.503 -0.308 0.734
Tc -5.454 3.135 1.466
Tc -4.362 1.364 -0.236
Si -4.739 5.031 -0.256
```

Values from the calculation:
* symmetry: Amm2
* DOS(E_F): 0.74 states/eV/atom

---

Most stable to least stable: run P, run Q

---

Run P
Tl2SiTc | GGA-PBEsol | relaxed

extended XYZ file:
```
4
Lattice="3.144 0.000 0.000 0.000 3.144 0.000 0.000 0.000 8.383" Properties=species:S:1:pos:R:3 pbc="T T T"
Si 0.000 0.000 4.810
Tc 1.572 1.572 5.770
Tl 1.572 1.572 2.514
Tl 0.000 0.000 7.862
```

Values from the calculation:
* symmetry: P4mm
* DOS(E_F): 0.76 states/eV/atom

---

Run Q
Tl2SiTc | GGA-PBEsol | relaxed

extended XYZ file:
```
4
Lattice="-3.214 0.374 -0.183 -1.459 0.092 -2.893 -2.565 -8.378 -0.789" Properties=species:S:1:pos:R:3 pbc="T T T"
Tl -1.803 -1.921 -0.968
Si -3.619 -3.956 -1.932
Tc 0.000 0.000 0.000
Tl -5.435 -5.991 -2.897
```

Values from the calculation:
* symmetry: R-3m
* DOS(E_F): 0.88 states/eV/atom

---

Most stable to least stable: run P, run Q